No. 1
A relaxed La2Zn3Pd crystal. Source: the Alexandria database, functional PBE-GGA.

## Properties
density = 7.0 g/cm3
energy above the most stable polymorph in this dataset = 0 meV/atom
final energy = -3.664 eV per atom
calculated formation energy = -0.519 eV per atom

a b c (Å): 3.781 4.578 7.941
angles (deg): 90.00 90.00 90.00
Space group Pmm2 (No. 25)
Unique sites:
La  0.000  0.000  0.000 x1
La  0.000  0.500  0.472 x1
Zn  0.500  0.000  0.659 x1
Zn  0.500  0.500  0.146 x1
Zn  0.500  0.500  0.815 x1
Pd  0.500  0.000  0.321 x1



No. 2
A relaxed Dy2MnGa2Pd5 crystal. Source: the Alexandria database, functional PBE-GGA.

## Properties
density = 9.8 g/cm3
final energy = -5.701 eV per atom
calculated formation energy = -0.662 eV per atom

a b c (Å): 9.874 9.874 3.661
angles (deg): 90.00 90.00 90.00
Space group P4/mbm (No. 127)
Unique sites:
Dy  0.175  0.325  0.000 x4
Mn  0.000  0.000  0.000 x2
Ga  0.125  0.625  0.000 x4
Pd  0.000  0.500  0.500 x2
Pd  0.060  0.799  0.500 x8